No. 1
Compound: Be4Os
Source: Alexandria via LeMat-Bulk
Functional: PBE-GGA
Structure: relaxed

```
Be4Os
1.0
1.8345 -5.4925 0.0000
1.8345 5.4925 0.0000
0.0000 0.0000 4.6032
Be Os
8 2
Cartesian
0.0000 0.0000 0.0000 Be
0.0000 0.0000 2.3016 Be
1.8345 3.2604 2.3205 Be
1.8345 3.2604 4.5842 Be
1.8345 1.2868 3.4524 Be
1.8345 -1.2868 1.1508 Be
1.8345 -3.2604 0.0189 Be
1.8345 -3.2604 2.2827 Be
1.8345 1.0786 1.1508 Os
1.8345 -1.0786 3.4524 Os
```

Energy relative to the lowest polymorph listed for this composition: 0.0 meV per atom
VASP energy: -5.46 eV/atom
Symmetry: No. 63
ΔH_f (0 K): -0.236 eV per atom
Mass density: 8.101 Mg/m³

---

No. 2
Compound: ErSnTe
Source: Alexandria via LeMat-Bulk
Functional: PBE-GGA
Structure: relaxed

```
ErSnTe
1.0
-2.1005 2.1005 9.4817
2.1005 -2.1005 9.4817
2.1005 2.1005 -9.4817
Er Sn Te
2 2 2
Cartesian
0.0000 0.0000 2.6787 Er
0.0000 0.0000 16.2847 Er
2.1005 0.0000 0.0000 Sn
0.0000 2.1005 0.0000 Sn
0.0000 0.0000 5.8904 Te
0.0000 0.0000 13.0729 Te
```

Energy relative to the elements, uncorrected: -0.9086 eV/atom
VASP energy: -4.81 eV/atom
Symmetry: No. 139
Mass density: 8.208 Mg/m³

---

No. 3
Compound: Nd2BeGe3
Source: Alexandria via LeMat-Bulk
Functional: PBE-GGA
Structure: relaxed

```
Nd2BeGe3
1.0
0.0000 4.2431 7.1007
4.1226 0.0000 7.1007
4.1226 4.2431 0.0000
Nd Be Ge
4 2 6
Cartesian
4.1226 2.0641 7.1007 Nd
2.0613 2.1216 3.5504 Nd
6.1839 6.3647 10.6511 Nd
4.1226 6.4222 7.1007 Nd
4.1226 4.2431 4.7353 Be
4.1226 4.2431 9.4662 Be
4.1226 4.2431 2.4872 Ge
6.0314 4.2431 5.8586 Ge
6.0314 4.2431 8.3428 Ge
2.2137 4.2431 5.8586 Ge
2.2137 4.2431 8.3428 Ge
4.1226 4.2431 11.7143 Ge
```

Energy relative to the lowest polymorph listed for this composition: 0.0 meV per atom
VASP energy: -5.18 eV/atom
Symmetry: No. 69
ΔH_f (0 K): -0.665 eV per atom
Mass density: 6.890 Mg/m³

---

No. 4
Compound: MnNbCoHSe
Source: Alexandria via LeMat-Bulk
Functional: PBE-GGA
Structure: relaxed

```
MnNbCoHSe
1.0
4.3514 0.0000 0.0000
0.0000 3.0437 0.0000
-1.1849 0.0000 4.5400
Mn Nb Co H Se
1 1 1 1 1
Cartesian
0.0000 0.0000 0.0000 Mn
2.2954 1.5218 0.4729 Nb
1.0063 0.0000 2.8437 Co
1.1769 0.0000 1.2188 H
3.4479 1.5218 2.8115 Se
```

Energy relative to the lowest polymorph listed for this composition: 106.9 meV per atom
VASP energy: -6.66 eV/atom
Symmetry: No. 6
Mass density: 7.919 Mg/m³